Below is a PBEsol-optimized structure of Na3H6Ir, with properties calculated at the meta-GGA SCAN level.

```
40
Lattice="-2.2942 -2.7164 3.7163 -5.7032 -3.6449 -6.1850 6.1109 -7.1253 -1.4357" Properties=species:S:1:pos:R:3 pbc="T T T"
Na 1.0144 -9.9075 -1.2769
Na -3.3275 -9.9923 -4.0193
Na -2.9010 -3.5792 -2.6275
Na 1.4409 -3.4944 0.1149
Na 3.5787 -9.2998 0.7503
Na -1.9057 -8.0524 -1.7236
Na -5.4653 -4.1869 -4.6547
Na 0.0191 -5.4342 -2.1808
Na -1.7872 -4.8480 0.6918
Na -4.6503 -6.6569 -2.3980
Na -0.0994 -8.6387 -4.5962
Na 2.7638 -6.8298 -1.5064
H 1.1146 -5.8256 0.1170
H -0.1617 -11.9869 -1.8713
H -1.9365 -6.4006 -5.7459
H -2.7895 -2.7604 -0.3086
H -3.0011 -7.6611 -4.0214
H -1.7249 -1.4998 -2.0332
H 0.0499 -7.0861 1.8415
H 0.9030 -10.7263 -3.5958
H 0.5835 -7.5856 -1.4344
H -2.2139 -11.8778 -3.1215
H -1.4461 -4.6886 -4.1288
H -0.6967 -2.8213 0.8758
H -2.4700 -5.9010 -2.4701
H 0.3273 -1.6089 -0.7829
H -0.4405 -8.7981 0.2244
H -1.1899 -10.6654 -4.7802
H -1.1155 -6.6378 -0.2018
H -6.4374 -5.5799 -2.7139
H -0.7711 -6.8489 -3.7026
H 4.5508 -7.9068 -1.1905
H 1.7992 -8.0524 0.5636
H -1.0430 -9.8858 -2.5311
H -3.6858 -5.4343 -4.4680
H -0.8436 -3.6009 -1.3733
Ir 0.3444 -7.3205 0.2004
Ir -0.6568 -11.3006 -3.3269
Ir -2.2310 -6.1662 -4.1048
Ir -1.2298 -2.1861 -0.5776
```

DFT total energy (eV/atom): -10.93